1.
Below is ScTa2Rh after structural relaxation, with properties calculated at the PBE-GGA level.

- ΔE to the lowest computed polymorph (meV per atom) = 108
- energy of formation (eV per atom) = -0.25

```
data_ScTa2Rh
_chemical_formula_sum 'Sc1 Ta2 Rh1'
_cell_length_a 3.1915
_cell_length_b 4.5139
_cell_length_c 4.8896
_cell_angle_alpha 90.00
_cell_angle_beta 90.00
_cell_angle_gamma 90.00
_symmetry_space_group_name_H-M 'P m m m'
_symmetry_Int_Tables_number 47
_symmetry_space_group_name_Hall '-P 2 2'
loop_
_atom_site_label
_atom_site_type_symbol
_atom_site_fract_x
_atom_site_fract_y
_atom_site_fract_z
_atom_site_occupancy
Sc1 Sc 0.0000 0.0000 0.0000 1
Ta1 Ta 0.0000 0.5000 0.5000 1
Ta2 Ta 0.5000 0.0000 0.5000 1
Rh1 Rh 0.5000 0.5000 0.0000 1
```


2.
Below is V2InBi after structural relaxation, with properties calculated at the PBE-GGA level.

- ΔE to the lowest computed polymorph (meV per atom) = 228
- energy of formation (eV per atom) = 0.79

```
data_V2InBi
_chemical_formula_sum 'V8 In4 Bi4'
_cell_length_a 4.1968
_cell_length_b 4.1968
_cell_length_c 19.7137
_cell_angle_alpha 90.00
_cell_angle_beta 90.00
_cell_angle_gamma 90.00
_symmetry_space_group_name_H-M 'I -4 2 d'
_symmetry_Int_Tables_number 122
_symmetry_space_group_name_Hall 'I -4 2bw'
loop_
_atom_site_label
_atom_site_type_symbol
_atom_site_fract_x
_atom_site_fract_y
_atom_site_fract_z
_atom_site_occupancy
V1 V 0.1876 0.2500 0.1250 1
In1 In 0.0000 0.0000 0.0000 1
Bi1 Bi 0.0000 0.0000 0.5000 1
```


3.
Below is AgPd2Pb6 after structural relaxation, with properties calculated at the PBE-GGA level.

- ΔE to the lowest computed polymorph (meV per atom) = 0
- energy of formation (eV per atom) = -0.10

```
data_AgPd2Pb6
_chemical_formula_sum 'Ag4 Pd8 Pb24'
_cell_length_a 9.0546
_cell_length_b 9.1602
_cell_length_c 11.1281
_cell_angle_alpha 90.00
_cell_angle_beta 90.00
_cell_angle_gamma 90.00
_symmetry_space_group_name_H-M 'I m m m'
_symmetry_Int_Tables_number 71
_symmetry_space_group_name_Hall '-I 2 2'
loop_
_atom_site_label
_atom_site_type_symbol
_atom_site_fract_x
_atom_site_fract_y
_atom_site_fract_z
_atom_site_occupancy
Ag1 Ag 0.0000 0.0000 0.0000 1
Ag2 Ag 0.0000 0.0000 0.5000 1
Pd1 Pd 0.0000 0.3240 0.0000 1
Pd2 Pd 0.0000 0.5000 0.3687 1
Pb1 Pb 0.0000 0.1992 0.2484 1
Pb2 Pb 0.1984 0.5000 0.1646 1
Pb3 Pb 0.2071 0.3107 0.5000 1
```


4.
Below is TbDyHo2Er after structural relaxation, with properties calculated at the PBE-GGA level.

- energy of formation (eV per atom) = 0.41

```
data_TbDyHo2Er
_chemical_formula_sum 'Tb4 Dy4 Ho8 Er4'
_cell_length_a 8.3038
_cell_length_b 11.3188
_cell_length_c 7.1576
_cell_angle_alpha 90.00
_cell_angle_beta 90.00
_cell_angle_gamma 90.00
_symmetry_space_group_name_H-M 'C m c m'
_symmetry_Int_Tables_number 63
_symmetry_space_group_name_Hall '-C 2c 2'
loop_
_atom_site_label
_atom_site_type_symbol
_atom_site_fract_x
_atom_site_fract_y
_atom_site_fract_z
_atom_site_occupancy
Tb1 Tb 0.0000 0.2249 0.2500 1
Dy1 Dy 0.0000 0.4995 0.2500 1
Ho1 Ho 0.1901 0.0000 0.0000 1
Er1 Er 0.0000 0.2228 0.7500 1
```


5.
Below is LaS2BrF after structural relaxation, with properties calculated at the PBE-GGA level.

- E_tot (eV per atom) = -4.164

```
data_LaS2BrF
_chemical_formula_sum 'La1 S2 Br1 F1'
_cell_length_a 4.4448
_cell_length_b 4.4448
_cell_length_c 5.2676
_cell_angle_alpha 90.00
_cell_angle_beta 90.00
_cell_angle_gamma 90.00
_symmetry_space_group_name_H-M 'P 4/m m m'
_symmetry_Int_Tables_number 123
_symmetry_space_group_name_Hall '-P 4 2'
loop_
_atom_site_label
_atom_site_type_symbol
_atom_site_fract_x
_atom_site_fract_y
_atom_site_fract_z
_atom_site_occupancy
La1 La 0.0000 0.0000 0.0000 1
S1 S 0.0000 0.5000 0.5000 1
Br1 Br 0.5000 0.5000 0.0000 1
F1 F 0.5000 0.5000 0.5000 1
```


6.
Below is TcAsBr2N after structural relaxation, with properties calculated at the PBE-GGA level.

- ΔE to the lowest computed polymorph (meV per atom) = 0

```
data_TcAsBr2N
_chemical_formula_sum 'Tc1 As1 Br2 N1'
_cell_length_a 4.4567
_cell_length_b 4.4567
_cell_length_c 4.8269
_cell_angle_alpha 90.00
_cell_angle_beta 90.00
_cell_angle_gamma 90.00
_symmetry_space_group_name_H-M 'P 4/m m m'
_symmetry_Int_Tables_number 123
_symmetry_space_group_name_Hall '-P 4 2'
loop_
_atom_site_label
_atom_site_type_symbol
_atom_site_fract_x
_atom_site_fract_y
_atom_site_fract_z
_atom_site_occupancy
Tc1 Tc 0.0000 0.0000 0.0000 1
As1 As 0.5000 0.5000 0.0000 1
Br1 Br 0.0000 0.5000 0.5000 1
N1 N 0.5000 0.5000 0.5000 1
```


7.
Below is MgGa5Ag3 after structural relaxation, with properties calculated at the PBE-GGA level.

- energy of formation (eV per atom) = 0.14

```
data_MgGa5Ag3
_chemical_formula_sum 'Mg4 Ga20 Ag12'
_cell_length_a 12.2805
_cell_length_b 7.3717
_cell_length_c 9.7266
_cell_angle_alpha 90.00
_cell_angle_beta 114.74
_cell_angle_gamma 90.00
_symmetry_space_group_name_H-M 'C 1 2/m 1'
_symmetry_Int_Tables_number 12
_symmetry_space_group_name_Hall '-C 2y'
loop_
_atom_site_label
_atom_site_type_symbol
_atom_site_fract_x
_atom_site_fract_y
_atom_site_fract_z
_atom_site_occupancy
Mg1 Mg 0.1258 0.0000 0.3040 1
Ga1 Ga 0.0000 0.3328 0.0000 1
Ga2 Ga 0.0927 0.5000 0.3185 1
Ga3 Ga 0.1938 0.2060 0.5844 1
Ga4 Ga 0.2343 0.0000 0.0842 1
Ag1 Ag 0.0000 0.0000 0.0000 1
Ag2 Ag 0.0000 0.0000 0.5000 1
Ag3 Ag 0.1017 0.5000 0.6410 1
Ag4 Ag 0.2344 0.5000 0.1589 1
```


8.
Below is CsSr2LiHg after structural relaxation, with properties calculated at the PBE-GGA level.

- energy of formation (eV per atom) = -0.05

```
data_CsSr2LiHg
_chemical_formula_sum 'Cs1 Sr2 Li1 Hg1'
_cell_length_a 6.4745
_cell_length_b 6.4745
_cell_length_c 5.7647
_cell_angle_alpha 90.00
_cell_angle_beta 90.00
_cell_angle_gamma 90.00
_symmetry_space_group_name_H-M 'P 4/m m m'
_symmetry_Int_Tables_number 123
_symmetry_space_group_name_Hall '-P 4 2'
loop_
_atom_site_label
_atom_site_type_symbol
_atom_site_fract_x
_atom_site_fract_y
_atom_site_fract_z
_atom_site_occupancy
Cs1 Cs 0.0000 0.0000 0.0000 1
Sr1 Sr 0.0000 0.5000 0.5000 1
Li1 Li 0.5000 0.5000 0.0000 1
Hg1 Hg 0.5000 0.5000 0.5000 1
```


9.
Below is Ba2Zn3In4Sn after structural relaxation, with properties calculated at the PBE-GGA level.

- energy of formation (eV per atom) = -0.33

```
data_Ba2Zn3In4Sn
_chemical_formula_sum 'Ba2 Zn3 In4 Sn1'
_cell_length_a 4.8427
_cell_length_b 4.8427
_cell_length_c 11.7594
_cell_angle_alpha 90.00
_cell_angle_beta 90.00
_cell_angle_gamma 90.00
_symmetry_space_group_name_H-M 'P -4 m 2'
_symmetry_Int_Tables_number 115
_symmetry_space_group_name_Hall 'P -4 -2'
loop_
_atom_site_label
_atom_site_type_symbol
_atom_site_fract_x
_atom_site_fract_y
_atom_site_fract_z
_atom_site_occupancy
Ba1 Ba 0.0000 0.5000 0.2489 1
Zn1 Zn 0.0000 0.5000 0.8720 1
Zn2 Zn 0.5000 0.5000 0.5000 1
In1 In 0.0000 0.0000 0.0000 1
In2 In 0.0000 0.5000 0.6414 1
In3 In 0.5000 0.5000 0.0000 1
Sn1 Sn 0.0000 0.0000 0.5000 1
```


10.
Below is Er2InSn after structural relaxation, with properties calculated at the PBE-GGA level.

- energy of formation (eV per atom) = -0.49

```
data_Er2InSn
_chemical_formula_sum 'Er2 In1 Sn1'
_cell_length_a 3.9056
_cell_length_b 3.9056
_cell_length_c 6.8680
_cell_angle_alpha 90.00
_cell_angle_beta 90.00
_cell_angle_gamma 90.00
_symmetry_space_group_name_H-M 'P 4/m m m'
_symmetry_Int_Tables_number 123
_symmetry_space_group_name_Hall '-P 4 2'
loop_
_atom_site_label
_atom_site_type_symbol
_atom_site_fract_x
_atom_site_fract_y
_atom_site_fract_z
_atom_site_occupancy
Er1 Er 0.0000 0.0000 0.2467 1
In1 In 0.5000 0.5000 0.5000 1
Sn1 Sn 0.5000 0.5000 0.0000 1
```


11.
Below is Na3Pu2SnS6 after structural relaxation, with properties calculated at the PBE-GGA level.

- E_tot (eV per atom) = -6.403

```
data_Na3Pu2SnS6
_chemical_formula_sum 'Na6 Pu4 Sn2 S12'
_cell_length_a 7.0567
_cell_length_b 12.2284
_cell_length_c 6.9892
_cell_angle_alpha 90.00
_cell_angle_beta 109.79
_cell_angle_gamma 90.00
_symmetry_space_group_name_H-M 'C 1 2/m 1'
_symmetry_Int_Tables_number 12
_symmetry_space_group_name_Hall '-C 2y'
loop_
_atom_site_label
_atom_site_type_symbol
_atom_site_fract_x
_atom_site_fract_y
_atom_site_fract_z
_atom_site_occupancy
Na1 Na 0.0000 0.0000 0.0000 1
Na2 Na 0.0000 0.3385 0.0000 1
Pu1 Pu 0.0000 0.1670 0.5000 1
Sn1 Sn 0.0000 0.5000 0.5000 1
S1 S 0.2262 0.0000 0.7282 1
S2 S 0.2490 0.1752 0.2740 1
```


12.
Below is MoCl3 after structural relaxation, with properties calculated at the PBE-GGA level.

- ΔE to the lowest computed polymorph (meV per atom) = 421

```
data_MoCl3
_chemical_formula_sum 'Mo2 Cl6'
_cell_length_a 3.0792
_cell_length_b 4.7651
_cell_length_c 13.9472
_cell_angle_alpha 90.00
_cell_angle_beta 90.00
_cell_angle_gamma 90.00
_symmetry_space_group_name_H-M 'I m m m'
_symmetry_Int_Tables_number 71
_symmetry_space_group_name_Hall '-I 2 2'
loop_
_atom_site_label
_atom_site_type_symbol
_atom_site_fract_x
_atom_site_fract_y
_atom_site_fract_z
_atom_site_occupancy
Mo1 Mo 0.0000 0.0000 0.0000 1
Cl1 Cl 0.0000 0.0000 0.5000 1
Cl2 Cl 0.0000 0.5000 0.3610 1
```


Number 1: magnetic moment 0.00 μB/f.u.. Number 2: magnetic moment 0.37 μB/f.u.. Number 3: magnetic moment 0.00 μB/f.u.. Number 4: magnetic moment 0.00 μB/f.u.. Number 5: magnetic moment 0.00 μB/f.u.. Number 6: magnetic moment 4.02 μB/f.u.. Number 7: magnetic moment 0.00 μB/f.u.. Number 8: magnetic moment 0.00 μB/f.u.. Number 9: magnetic moment 0.00 μB/f.u.. Number 10: magnetic moment 0.00 μB/f.u.. Number 11: magnetic moment 9.00 μB/f.u.. Number 12: magnetic moment 2.11 μB/f.u..